Material: TaZn2Re
Method: DFT, PBE-GGA
State: optimized geometry

Lattice parameters (Å, degrees): 2.758 2.758 8.153 90.00 90.00 90.00
Atoms (fractional coordinates):
Re (0.000, 0.000, 0.485)
Zn (0.000, 0.000, 0.013)
Zn (0.500, 0.500, 0.246)
Ta (0.500, 0.500, 0.756)

## Properties
Distance to the lowest polymorph of the same formula   157 meV/atom
Energy of formation   0.186 eV per atom



Material: BaCuNi
Method: DFT, PBE-GGA
State: optimized geometry

Lattice parameters (Å, degrees): 4.159 4.706 8.956 93.23 90.00 90.00
Atoms (fractional coordinates):
Ni (0.250, 0.872, 0.994)
Ni (0.750, 0.128, 0.006)
Cu (0.250, 0.369, 0.939)
Cu (0.750, 0.631, 0.061)
Ba (0.750, 0.767, 0.720)
Ba (0.250, 0.233, 0.280)

## Properties
Distance to the lowest polymorph of the same formula   0 meV/atom
Energy of formation   0.014 eV per atom



| no. | DFT total energy (eV per formula unit) |
| --- | --- |
| 1 | -26.1 |
| 2 | -11.8 |